Density functional theory data (PBE) for K3Cd5Cl12 after structural relaxation.

Calculated values
* ΔE_f (raw): -124.7 kJ per mole of atoms

Geometry as extended XYZ:
```
80
Lattice="-8.492 8.492 8.492 8.492 -8.492 8.492 8.492 8.492 -8.492" Properties=species:S:1:pos:R:3 pbc="T T T"
K 4.246 2.123 0.000
K 8.492 4.246 -2.123
K 2.123 0.000 4.246
K 10.615 0.000 4.246
K 0.000 4.246 2.123
K 4.246 -2.123 8.492
K 4.246 10.615 0.000
K 8.492 4.246 6.369
K -2.123 8.492 4.246
K 6.369 8.492 4.246
K 0.000 4.246 10.615
K 4.246 6.369 8.492
Cd 0.000 0.000 0.000
Cd 4.246 4.246 -4.246
Cd 4.246 -4.246 4.246
Cd 8.492 0.000 0.000
Cd 12.738 2.123 0.000
Cd 8.492 -4.246 6.369
Cd 6.369 8.492 -4.246
Cd 6.369 0.000 4.246
Cd 4.246 6.369 0.000
Cd 8.492 4.246 2.123
Cd -4.246 4.246 4.246
Cd 0.000 8.492 0.000
Cd 0.000 0.000 8.492
Cd 4.246 4.246 4.246
Cd 0.000 4.246 6.369
Cd 4.246 2.123 8.492
Cd 2.123 8.492 4.246
Cd 2.123 0.000 12.738
Cd 0.000 12.738 2.123
Cd -4.246 6.369 8.492
Cl 2.513 -0.511 0.933
Cl 10.224 5.179 -4.757
Cl 11.005 0.511 0.933
Cl 10.224 -3.313 4.757
Cl 7.981 -0.933 2.513
Cl 13.248 -1.732 3.313
Cl 0.933 2.513 -0.511
Cl 11.805 3.735 -1.732
Cl 5.179 4.757 -1.732
Cl 7.559 2.513 0.511
Cl -0.511 0.933 2.513
Cl 4.757 -1.732 5.179
Cl 7.981 7.559 -2.513
Cl 4.757 1.732 3.313
Cl 5.179 -4.757 10.224
Cl 7.559 -2.513 7.981
Cl 3.313 4.757 1.732
Cl 9.424 5.978 0.511
Cl 4.757 10.224 -3.313
Cl 7.981 0.933 5.978
Cl 2.513 7.981 -0.933
Cl 10.224 3.313 3.735
Cl 1.732 3.313 4.757
Cl 2.513 0.511 7.559
Cl 5.978 7.981 0.933
Cl 6.759 5.179 3.735
Cl -1.732 5.179 4.757
Cl 5.978 0.511 9.424
Cl 0.511 7.559 2.513
Cl 3.735 -1.732 11.805
Cl -0.933 2.513 7.981
Cl 5.179 3.735 6.759
Cl 0.933 11.005 0.511
Cl 3.313 13.248 -1.732
Cl 3.735 6.759 5.179
Cl 0.511 0.933 11.005
Cl 3.735 10.224 3.313
Cl 9.003 7.559 5.978
Cl 0.933 5.978 7.981
Cl 3.313 3.735 10.224
Cl -3.313 4.757 10.224
Cl 7.559 5.978 9.003
Cl -4.757 10.224 5.179
Cl 0.511 9.424 5.978
Cl -1.732 11.805 3.735
Cl -2.513 7.981 7.559
Cl -1.732 3.313 13.248
Cl 5.978 9.003 7.559
```